Entry 1:
This record from the Alexandria database describes a relaxed structure of H7S2Cl2. The functional is PBE.

a = 4.8289 Å, b = 6.1618 Å, c = 6.1618 Å
α = 97.82°, β = 105.37°, γ = 105.37°
Sites, in units of the cell vectors:
H 0.7039 0.0307 0.6921
H 0.2961 0.3079 0.9693
H 0.2961 0.9693 0.3079
H 0.7039 0.6921 0.0307
H 0.5000 0.0000 0.0000
H 0.3333 0.6934 0.6934
H 0.6667 0.3066 0.3066
S 0.3886 0.1691 0.1691
S 0.6114 0.8309 0.8309
Cl 0.0000 0.2772 0.7228
Cl 0.0000 0.7228 0.2772

Space-group type: No. 12
Distance to the lowest polymorph of the same formula, meV per atom: 212


Entry 2:
This record from the Alexandria database describes a relaxed structure of HSCl3. The functional is PBE.

a = 4.7867 Å, b = 4.7867 Å, c = 4.7867 Å
α = 90.00°, β = 90.00°, γ = 90.00°
Each line ends with the local moment (μB).
Sites, in units of the cell vectors:
H 0.5000 0.5000 0.5000  0.36
S 0.0000 0.0000 0.0000  -0.03
Cl 0.0000 0.5000 0.0000  0.00
Cl 0.0000 0.0000 0.5000  -0.01
Cl 0.5000 0.0000 0.0000  0.01

Space-group type: No. 221
Distance to the lowest polymorph of the same formula, meV per atom: 0


Entry 3:
This record from the Alexandria database describes a relaxed structure of HSCl5. The functional is PBE.

a = 6.7687 Å, b = 6.7686 Å, c = 10.8516 Å
α = 78.88°, β = 78.88°, γ = 82.86°
Sites, in units of the cell vectors:
H 0.2498 0.5267 0.2899
H 0.5267 0.2498 0.7899
S 0.1413 0.8653 0.9388
S 0.8653 0.1413 0.4388
Cl 0.9915 0.0748 0.8216
Cl 0.0748 0.9915 0.3216
Cl 0.6461 0.9161 0.4789
Cl 0.3766 0.1036 0.9483
Cl 0.3475 0.7143 0.8216
Cl 0.6422 0.3656 0.6948
Cl 0.3656 0.6422 0.1948
Cl 0.7143 0.3475 0.3216
Cl 0.9161 0.6461 0.9789
Cl 0.1036 0.3766 0.4483

Space-group type: No. 9
E_tot, eV/cell: -36.795


Entry 4:
This record from the Alexandria database describes a relaxed structure of HS3Cl. The functional is PBE.

a = 4.1466 Å, b = 4.1466 Å, c = 4.1466 Å
α = 90.00°, β = 90.00°, γ = 90.00°
Sites, in units of the cell vectors:
H 0.0000 0.0000 0.0000
S 0.0000 0.5000 0.0000
S 0.0000 0.0000 0.5000
S 0.5000 0.0000 0.0000
Cl 0.5000 0.5000 0.5000

Space-group type: No. 221
Distance to the lowest polymorph of the same formula, meV per atom: 0


Entry 5:
This record from the Alexandria database describes a relaxed structure of HSCl. The functional is PBE.

a = 3.2947 Å, b = 5.7325 Å, c = 7.6701 Å
α = 118.47°, β = 90.00°, γ = 106.70°
Sites, in units of the cell vectors:
H 0.9068 0.8136 0.8511
H 0.0932 0.1864 0.1489
S 0.4016 0.8031 0.8486
S 0.5984 0.1969 0.1514
Cl 0.8227 0.6454 0.3047
Cl 0.1773 0.3546 0.6953

Space-group type: No. 12
Distance to the lowest polymorph of the same formula, meV per atom: 334


Entry 6:
This record from the Alexandria database describes a relaxed structure of HS6Cl. The functional is PBE.

a = 4.0454 Å, b = 4.2454 Å, c = 22.3835 Å
α = 146.72°, β = 97.19°, γ = 69.80°
Sites, in units of the cell vectors:
H 0.0000 0.0000 0.0000
S 0.0668 0.9570 0.6682
S 0.2222 0.6118 0.7614
S 0.3279 0.1965 0.0620
S 0.7778 0.3882 0.2386
S 0.9332 0.0430 0.3318
S 0.6721 0.8035 0.9380
Cl 0.0000 0.5000 0.5000

Space-group type: No. 2
E_tot, eV/cell: -28.701


Entry 7:
This record from the Alexandria database describes a relaxed structure of HS5Cl. The functional is PBE.

a = 8.0380 Å, b = 4.3205 Å, c = 8.7585 Å
α = 86.02°, β = 118.77°, γ = 119.37°
Each line ends with the local moment (μB).
Sites, in units of the cell vectors:
H 0.9062 0.2171 0.5897  0.00
S 0.9590 0.0968 0.0402  0.01
S 0.0309 0.4696 0.2308  0.01
S 0.1985 0.9629 0.1765  0.01
S 0.3049 0.7235 0.8018  0.34
S 0.3963 0.1674 0.7199  0.38
Cl 0.7350 0.8934 0.5024  0.01

Space-group type: No. 1
E_tot, eV/cell: -25.727


Entry 8:
This record from the Alexandria database describes a relaxed structure of H6S3Cl2. The functional is PBE.

a = 5.9409 Å, b = 5.9409 Å, c = 10.7531 Å
α = 89.16°, β = 89.16°, γ = 92.44°
Sites, in units of the cell vectors:
H 0.0722 0.2514 0.8419
H 0.6082 0.3879 0.8506
H 0.7430 0.9204 0.8428
H 0.2514 0.0722 0.3419
H 0.9204 0.7430 0.3428
H 0.3879 0.6082 0.3506
H 0.9278 0.7486 0.1581
H 0.3918 0.6121 0.1494
H 0.2570 0.0796 0.1572
H 0.7486 0.9278 0.6581
H 0.0796 0.2570 0.6572
H 0.6121 0.3918 0.6494
S 0.2243 0.1929 0.7498
S 0.4818 0.5182 0.7500
S 0.8071 0.7757 0.7502
S 0.1929 0.2243 0.2498
S 0.7757 0.8071 0.2502
S 0.5182 0.4818 0.2500
Cl 0.2429 0.7620 0.0474
Cl 0.7620 0.2429 0.5474
Cl 0.7571 0.2380 0.9526
Cl 0.2380 0.7571 0.4526

Space-group type: No. 15
E_tot, eV/cell: -77.287


Entry 9:
This record from the Alexandria database describes a relaxed structure of HSCl2. The functional is PBE.

a = 7.2865 Å, b = 7.2865 Å, c = 7.2865 Å
α = 26.34°, β = 26.34°, γ = 26.34°
Sites, in units of the cell vectors:
H 0.5000 0.5000 0.5000
S 0.0000 0.0000 0.0000
Cl 0.8936 0.8936 0.8936
Cl 0.1064 0.1064 0.1064

Space-group type: No. 166
Distance to the lowest polymorph of the same formula, meV per atom: 192


Entry 10:
This record from the Alexandria database describes a relaxed structure of H4SCl2. The functional is PBE.

a = 5.6093 Å, b = 5.6093 Å, c = 5.9543 Å
α = 123.84°, β = 105.02°, γ = 97.68°
Sites, in units of the cell vectors:
H 0.7736 0.9467 0.7202
H 0.4432 0.9296 0.3728
H 0.0953 0.2746 0.0959
H 0.8213 0.0006 0.0959
S 0.9663 0.9554 0.9216
Cl 0.6607 0.1571 0.3968
Cl 0.2397 0.7361 0.3968

Space-group type: No. 8
Distance to the lowest polymorph of the same formula, meV per atom: 4


Entry 11:
This record from the Alexandria database describes a relaxed structure of H3SCl. The functional is PBE.

a = 8.0043 Å, b = 8.0043 Å, c = 8.0043 Å
α = 37.42°, β = 37.42°, γ = 37.42°
Sites, in units of the cell vectors:
H 0.9238 0.9238 0.3287
H 0.3287 0.9238 0.9238
H 0.9238 0.3287 0.9238
H 0.4238 0.8287 0.4238
H 0.8287 0.4238 0.4238
H 0.4238 0.4238 0.8287
S 0.0252 0.0252 0.0252
S 0.5252 0.5252 0.5252
Cl 0.7701 0.7701 0.7701
Cl 0.2701 0.2701 0.2701

Space-group type: No. 160
Distance to the lowest polymorph of the same formula, meV per atom: 0


Entry 12:
This record from the Alexandria database describes a relaxed structure of HSCl3. The functional is PBE.

a = 4.3323 Å, b = 4.3323 Å, c = 4.3323 Å
α = 90.00°, β = 90.00°, γ = 90.00°
Sites, in units of the cell vectors:
H 0.0000 0.0000 0.0000
S 0.5000 0.5000 0.5000
Cl 0.0000 0.5000 0.0000
Cl 0.0000 0.0000 0.5000
Cl 0.5000 0.0000 0.0000

Space-group type: No. 221
Distance to the lowest polymorph of the same formula, meV per atom: 408


Entry 13:
This record from the Alexandria database describes a relaxed structure of HSCl2. The functional is PBE.

a = 6.7488 Å, b = 6.7488 Å, c = 6.7488 Å
α = 38.68°, β = 38.68°, γ = 38.68°
Each line ends with the local moment (μB).
Sites, in units of the cell vectors:
H 0.0000 0.0000 0.0000  0.00
S 0.5000 0.5000 0.5000  1.45
Cl 0.9168 0.9168 0.9168  0.30
Cl 0.0832 0.0832 0.0832  0.30

Space-group type: No. 166
Distance to the lowest polymorph of the same formula, meV per atom: 0


Entry 14:
This record from the Alexandria database describes a relaxed structure of HS6Cl2. The functional is PBE.

a = 18.4397 Å, b = 9.4836 Å, c = 18.4397 Å
α = 27.36°, β = 28.77°, γ = 27.36°
Each line ends with the local moment (μB).
Sites, in units of the cell vectors:
H 0.7237 0.7500 0.2763  0.00
H 0.2763 0.2500 0.7237  0.00
S 0.3589 0.5023 0.7680  0.31
S 0.2320 0.9977 0.6411  0.31
S 0.6411 0.4977 0.2320  0.31
S 0.7680 0.0023 0.3589  0.31
S 0.1648 0.9009 0.5836  -0.01
S 0.4164 0.5991 0.8352  -0.01
S 0.8352 0.0991 0.4164  -0.01
S 0.5836 0.4009 0.1648  -0.01
S 0.2675 0.1045 0.7172  -0.01
S 0.2828 0.3955 0.7325  -0.01
S 0.7325 0.8955 0.2828  -0.01
S 0.7172 0.6045 0.2675  -0.01
Cl 0.2658 0.3814 0.1050  0.01
Cl 0.8950 0.1186 0.7342  0.01
Cl 0.7342 0.6186 0.8950  0.01
Cl 0.1050 0.8814 0.2658  0.01

Space-group type: No. 15
E_tot, eV/cell: -62.527


Entry 15:
This record from the Alexandria database describes a relaxed structure of HS3Cl. The functional is PBE.

a = 4.7074 Å, b = 4.7074 Å, c = 4.7074 Å
α = 90.00°, β = 90.00°, γ = 90.00°
Each line ends with the local moment (μB).
Sites, in units of the cell vectors:
H 0.5000 0.5000 0.5000  0.34
S 0.0000 0.5000 0.0000  -0.07
S 0.0000 0.0000 0.5000  -0.08
S 0.5000 0.0000 0.0000  -0.01
Cl 0.0000 0.0000 0.0000  -0.02

Space-group type: No. 221
Distance to the lowest polymorph of the same formula, meV per atom: 471


Entry 16:
This record from the Alexandria database describes a relaxed structure of HSCl. The functional is PBE.

a = 5.2393 Å, b = 5.7922 Å, c = 11.4148 Å
α = 106.48°, β = 98.67°, γ = 82.62°
Sites, in units of the cell vectors:
H 0.8103 0.8937 0.8451
H 0.2134 0.7171 0.9701
H 0.7866 0.2829 0.0299
H 0.1897 0.1063 0.1549
S 0.9522 0.1498 0.4751
S 0.5486 0.3552 0.5292
S 0.4514 0.6448 0.4708
S 0.0478 0.8502 0.5249
Cl 0.8844 0.4011 0.1404
Cl 0.3658 0.9235 0.1552
Cl 0.6342 0.0765 0.8448
Cl 0.1156 0.5989 0.8596

Space-group type: No. 2
Distance to the lowest polymorph of the same formula, meV per atom: 0


Entry 17:
This record from the Alexandria database describes a relaxed structure of HSCl2. The functional is PBE.

a = 4.6442 Å, b = 4.6442 Å, c = 4.6442 Å
α = 60.00°, β = 60.00°, γ = 60.00°
Each line ends with the local moment (μB).
Sites, in units of the cell vectors:
H 0.0000 0.0000 0.0000  0.32
S 0.5000 0.5000 0.5000  0.72
Cl 0.2500 0.2500 0.2500  0.19
Cl 0.7500 0.7500 0.7500  0.19

Space-group type: No. 225
Distance to the lowest polymorph of the same formula, meV per atom: 832


Entry 18:
This record from the Alexandria database describes a relaxed structure of HSCl2. The functional is PBE.

a = 5.8785 Å, b = 5.8785 Å, c = 6.2057 Å
α = 61.73°, β = 61.73°, γ = 90.00°
Each line ends with the local moment (μB).
Sites, in units of the cell vectors:
H 0.5000 0.5000 0.0000  0.00
H 0.2500 0.7500 0.5000  0.00
S 0.0000 0.0000 0.0000  1.39
S 0.7500 0.2500 0.5000  1.39
Cl 0.5006 0.1250 0.2500  0.33
Cl 0.2494 0.6250 0.2500  0.34
Cl 0.3750 0.4994 0.7500  0.33
Cl 0.8750 0.7506 0.7500  0.33

Space-group type: No. 122
Distance to the lowest polymorph of the same formula, meV per atom: 363


Entry 19:
This record from the Alexandria database describes a relaxed structure of H4SCl3. The functional is PBE.

a = 8.2169 Å, b = 7.0530 Å, c = 5.3936 Å
α = 90.00°, β = 90.00°, γ = 90.00°
Each line ends with the local moment (μB).
Sites, in units of the cell vectors:
H 0.9638 0.0274 0.0000  0.00
H 0.7772 0.2306 0.0000  0.00
H 0.0391 0.2668 0.2910  0.00
H 0.5391 0.7332 0.2090  0.00
H 0.2772 0.7694 0.5000  0.00
H 0.4638 0.9726 0.5000  0.00
H 0.5391 0.7332 0.7910  0.00
H 0.0391 0.2668 0.7090  0.00
S 0.9470 0.2223 0.0000  0.00
S 0.4470 0.7777 0.5000  0.00
Cl 0.6519 0.7101 0.0000  0.00
Cl 0.0486 0.7636 0.2500  -0.10
Cl 0.5486 0.2364 0.2500  -0.10
Cl 0.1519 0.2899 0.5000  0.00
Cl 0.5486 0.2364 0.7500  -0.10
Cl 0.0486 0.7636 0.7500  -0.10

Space-group type: No. 31
E_tot, eV/cell: -48.510


Entry 20:
This record from the Alexandria database describes a relaxed structure of HSCl6. The functional is PBE.

a = 8.2800 Å, b = 6.3719 Å, c = 8.1442 Å
α = 61.65°, β = 47.54°, γ = 87.19°
Each line ends with the local moment (μB).
Sites, in units of the cell vectors:
H 0.5000 0.5000 0.5000  0.00
S 0.0000 0.0000 0.0000  -0.36
Cl 0.2338 0.4577 0.6645  -0.03
Cl 0.9209 0.0189 0.6521  -0.05
Cl 0.6866 0.0814 0.1042  -0.10
Cl 0.0791 0.9811 0.3479  -0.05
Cl 0.7662 0.5423 0.3355  -0.03
Cl 0.3134 0.9186 0.8958  -0.10

Space-group type: No. 2
E_tot, eV/cell: -19.128


| no. | total magnetization (μB/f.u.) |
| --- | --- |
| 1 | 0.26 |
| 2 | 0.85 |
| 3 | 0.00 |
| 4 | 0.00 |
| 5 | 0.00 |
| 6 | 0.00 |
| 7 | 1.25 |
| 8 | 0.00 |
| 9 | 0.00 |
| 10 | 0.00 |
| 11 | 0.00 |
| 12 | 0.00 |
| 13 | 3.00 |
| 14 | 1.02 |
| 15 | 0.54 |
| 16 | 0.00 |
| 17 | 2.29 |
| 18 | 3.00 |
| 19 | 0.23 |
| 20 | 1.02 |